(1)
# Tl5In24 | Alexandria | meta-GGA SCAN | single point on PBEsol structure
# Electronic total energy ... -40.0689 eV per atom
# Total magnetic moment ... 0.00 μB/atom
data_Tl5In24
_chemical_formula_sum 'Tl10 In48'
_cell_length_a 11.474
_cell_length_b 11.474
_cell_length_c 11.474
_cell_angle_alpha 90.00
_cell_angle_beta 90.00
_cell_angle_gamma 90.00
_symmetry_space_group_name_H-M 'I -4 3 m'
_symmetry_Int_Tables_number 217
_symmetry_space_group_name_Hall 'I -4 2 3'
loop_
_atom_site_label
_atom_site_type_symbol
_atom_site_fract_x
_atom_site_fract_y
_atom_site_fract_z
Tl1 Tl 0.000 0.000 0.000
Tl2 Tl 0.177 0.177 0.823
In1 In 0.045 0.360 0.360
In2 In 0.094 0.094 0.286



(2)
# Cr2InRe | Alexandria | meta-GGA SCAN | single point on PBEsol structure
# Electronic total energy ... -34.9863 eV per atom
# Total magnetic moment ... 0.00 μB/atom
data_Cr2InRe
_chemical_formula_sum 'Cr2 In1 Re1'
_cell_length_a 2.875
_cell_length_b 3.698
_cell_length_c 5.590
_cell_angle_alpha 90.00
_cell_angle_beta 90.00
_cell_angle_gamma 90.00
_symmetry_space_group_name_H-M 'P m m m'
_symmetry_Int_Tables_number 47
_symmetry_space_group_name_Hall '-P 2 2'
loop_
_atom_site_label
_atom_site_type_symbol
_atom_site_fract_x
_atom_site_fract_y
_atom_site_fract_z
Cr1 Cr 0.000 0.000 0.190
In1 In 0.500 0.500 0.500
Re1 Re 0.500 0.500 0.000



(3)
# KTiPO5 | Alexandria | meta-GGA SCAN | single point on PBEsol structure
# Electronic total energy ... -11.1315 eV per atom
# Total magnetic moment ... 0.00 μB/atom
data_KTiPO5
_chemical_formula_sum 'K8 Ti8 P8 O40'
_cell_length_a 12.830
_cell_length_b 6.416
_cell_length_c 10.592
_cell_angle_alpha 90.00
_cell_angle_beta 90.00
_cell_angle_gamma 90.00
_symmetry_space_group_name_H-M 'P n a 21'
_symmetry_Int_Tables_number 33
_symmetry_space_group_name_Hall 'P 2c -2n'
loop_
_atom_site_label
_atom_site_type_symbol
_atom_site_fract_x
_atom_site_fract_y
_atom_site_fract_z
K1 K 0.107 0.201 0.000
K2 K 0.127 0.778 0.745
Ti1 Ti 0.128 0.500 0.444
Ti2 Ti 0.245 0.763 0.194
P1 P 0.002 0.339 0.700
P2 P 0.180 0.004 0.451
O1 O 0.010 0.532 0.323
O2 O 0.014 0.490 0.589
O3 O 0.094 0.803 0.178
O4 O 0.099 0.199 0.718
O5 O 0.111 0.813 0.479
O6 O 0.112 0.196 0.425
O7 O 0.223 0.465 0.580
O8 O 0.224 0.549 0.326
O9 O 0.247 0.464 0.836
O10 O 0.247 0.538 0.067



(4)
# Be3ReAs | Alexandria | meta-GGA SCAN | single point on PBEsol structure
# Electronic total energy ... -19.7443 eV per atom
# Total magnetic moment ... 0.00 μB/atom
data_Be3ReAs
_chemical_formula_sum 'Be3 Re1 As1'
_cell_length_a 4.228
_cell_length_b 4.228
_cell_length_c 4.228
_cell_angle_alpha 90.00
_cell_angle_beta 90.00
_cell_angle_gamma 90.00
_symmetry_space_group_name_H-M 'P m -3 m'
_symmetry_Int_Tables_number 221
_symmetry_space_group_name_Hall '-P 4 2 3'
loop_
_atom_site_label
_atom_site_type_symbol
_atom_site_fract_x
_atom_site_fract_y
_atom_site_fract_z
Be1 Be 0.000 0.000 0.500
Re1 Re 0.000 0.000 0.000
As1 As 0.500 0.500 0.500



(5)
# Ba2InCo | Alexandria | meta-GGA SCAN | single point on PBEsol structure
# Electronic total energy ... -32.4506 eV per atom
# Total magnetic moment ... 0.34 μB/atom
data_Ba2InCo
_chemical_formula_sum 'Ba4 In2 Co2'
_cell_length_a 12.467
_cell_length_b 3.816
_cell_length_c 5.660
_cell_angle_alpha 90.00
_cell_angle_beta 116.98
_cell_angle_gamma 90.00
_symmetry_space_group_name_H-M 'C 1 m 1'
_symmetry_Int_Tables_number 8
_symmetry_space_group_name_Hall 'C -2y'
loop_
_atom_site_label
_atom_site_type_symbol
_atom_site_fract_x
_atom_site_fract_y
_atom_site_fract_z
Ba1 Ba 0.000 0.000 0.000
Ba2 Ba 0.183 0.000 0.683
In1 In 0.296 0.500 0.296
Co1 Co 0.447 0.000 0.448



(6)
# IrRu2I | Alexandria | meta-GGA SCAN | single point on PBEsol structure
# Electronic total energy ... -43.3826 eV per atom
# Total magnetic moment ... 0.66 μB/atom
data_IrRu2I
_chemical_formula_sum 'Ir4 Ru8 I4'
_cell_length_a 6.319
_cell_length_b 6.319
_cell_length_c 6.319
_cell_angle_alpha 90.00
_cell_angle_beta 90.00
_cell_angle_gamma 90.00
_symmetry_space_group_name_H-M 'F m -3 m'
_symmetry_Int_Tables_number 225
_symmetry_space_group_name_Hall '-F 4 2 3'
loop_
_atom_site_label
_atom_site_type_symbol
_atom_site_fract_x
_atom_site_fract_y
_atom_site_fract_z
Ir1 Ir 0.000 0.000 0.000
Ru1 Ru 0.250 0.250 0.250
I1 I 0.000 0.000 0.500



(7)
# BeCu2 | Alexandria | meta-GGA SCAN | single point on PBEsol structure
# Electronic total energy ... -11.6289 eV per atom
# Total magnetic moment ... 0.00 μB/atom
data_BeCu2
_chemical_formula_sum 'Be1 Cu2'
_cell_length_a 2.4833
_cell_length_b 2.4833
_cell_length_c 5.7856
_cell_angle_alpha 90.00
_cell_angle_beta 90.00
_cell_angle_gamma 120.00
_symmetry_space_group_name_H-M 'P -3 m 1'
_symmetry_Int_Tables_number 164
_symmetry_space_group_name_Hall '-P 3 2"'
loop_
_atom_site_label
_atom_site_type_symbol
_atom_site_fract_x
_atom_site_fract_y
_atom_site_fract_z
Be1 Be 0.0000 0.0000 0.0000
Cu1 Cu 0.3333 0.6667 0.3171



(8)
# BaZn2Sb | Alexandria | meta-GGA SCAN | single point on PBEsol structure
# Electronic total energy ... -26.3287 eV per atom
# Total magnetic moment ... 0.00 μB/atom
data_BaZn2Sb
_chemical_formula_sum 'Ba1 Zn2 Sb1'
_cell_length_a 4.894
_cell_length_b 4.848
_cell_length_c 5.015
_cell_angle_alpha 90.00
_cell_angle_beta 90.02
_cell_angle_gamma 90.00
_symmetry_space_group_name_H-M 'P 1 2/m 1'
_symmetry_Int_Tables_number 10
_symmetry_space_group_name_Hall '-P 2y'
loop_
_atom_site_label
_atom_site_type_symbol
_atom_site_fract_x
_atom_site_fract_y
_atom_site_fract_z
Ba1 Ba 0.000 0.000 0.000
Zn1 Zn 0.491 0.500 0.759
Sb1 Sb 0.500 0.000 0.500



(9)
# CaAsP2 | Alexandria | meta-GGA SCAN | single point on PBEsol structure
# Electronic total energy ... -12.8440 eV per atom
# Total magnetic moment ... 0.00 μB/atom
data_CaAsP2
_chemical_formula_sum 'Ca1 As1 P2'
_cell_length_a 3.568
_cell_length_b 3.802
_cell_length_c 5.559
_cell_angle_alpha 90.00
_cell_angle_beta 90.00
_cell_angle_gamma 90.00
_symmetry_space_group_name_H-M 'P m m m'
_symmetry_Int_Tables_number 47
_symmetry_space_group_name_Hall '-P 2 2'
loop_
_atom_site_label
_atom_site_type_symbol
_atom_site_fract_x
_atom_site_fract_y
_atom_site_fract_z
Ca1 Ca 0.000 0.000 0.000
As1 As 0.000 0.000 0.500
P1 P 0.500 0.500 0.302



(10)
# Mg2CrGaW | Alexandria | meta-GGA SCAN | single point on PBEsol structure
# Electronic total energy ... -21.8362 eV per atom
# Total magnetic moment ... 0.58 μB/atom
data_Mg2CrGaW
_chemical_formula_sum 'Mg2 Cr1 Ga1 W1'
_cell_length_a 4.680
_cell_length_b 4.680
_cell_length_c 4.799
_cell_angle_alpha 90.00
_cell_angle_beta 90.00
_cell_angle_gamma 90.00
_symmetry_space_group_name_H-M 'P 4/m m m'
_symmetry_Int_Tables_number 123
_symmetry_space_group_name_Hall '-P 4 2'
loop_
_atom_site_label
_atom_site_type_symbol
_atom_site_fract_x
_atom_site_fract_y
_atom_site_fract_z
Mg1 Mg 0.000 0.500 0.000
Cr1 Cr 0.000 0.000 0.500
Ga1 Ga 0.500 0.500 0.000
W1 W 0.500 0.500 0.500



(11)
# NaMnC2S | Alexandria | meta-GGA SCAN | single point on PBEsol structure
# Electronic total energy ... -9.3094 eV per atom
# Total magnetic moment ... 0.43 μB/atom
data_NaMnC2S
_chemical_formula_sum 'Na1 Mn1 C2 S1'
_cell_length_a 3.687
_cell_length_b 3.687
_cell_length_c 5.825
_cell_angle_alpha 90.00
_cell_angle_beta 90.00
_cell_angle_gamma 90.00
_symmetry_space_group_name_H-M 'P 4/m m m'
_symmetry_Int_Tables_number 123
_symmetry_space_group_name_Hall '-P 4 2'
loop_
_atom_site_label
_atom_site_type_symbol
_atom_site_fract_x
_atom_site_fract_y
_atom_site_fract_z
Na1 Na 0.000 0.000 0.000
Mn1 Mn 0.000 0.000 0.500
C1 C 0.000 0.500 0.500
S1 S 0.500 0.500 0.000



(12)
# Li3Rh | Alexandria | meta-GGA SCAN | single point on PBEsol structure
# Electronic total energy ... -10.3456 eV per atom
# Total magnetic moment ... 0.13 μB/atom
data_Li3Rh
_chemical_formula_sum 'Li3 Rh1'
_cell_length_a 2.544
_cell_length_b 4.441
_cell_length_c 4.919
_cell_angle_alpha 90.00
_cell_angle_beta 90.00
_cell_angle_gamma 90.00
_symmetry_space_group_name_H-M 'P m m 2'
_symmetry_Int_Tables_number 25
_symmetry_space_group_name_Hall 'P 2 -2'
loop_
_atom_site_label
_atom_site_type_symbol
_atom_site_fract_x
_atom_site_fract_y
_atom_site_fract_z
Li1 Li 0.000 0.000 0.000
Li2 Li 0.000 0.500 0.313
Li3 Li 0.500 0.000 0.551
Rh1 Rh 0.500 0.500 0.817



(13)
# ReIrPd2O | Alexandria | meta-GGA SCAN | single point on PBEsol structure
# Electronic total energy ... -41.9655 eV per atom
# Total magnetic moment ... 0.55 μB/atom
data_ReIrPd2O
_chemical_formula_sum 'Re1 Ir1 Pd2 O1'
_cell_length_a 4.109
_cell_length_b 4.109
_cell_length_c 4.054
_cell_angle_alpha 90.00
_cell_angle_beta 90.00
_cell_angle_gamma 90.00
_symmetry_space_group_name_H-M 'P 4/m m m'
_symmetry_Int_Tables_number 123
_symmetry_space_group_name_Hall '-P 4 2'
loop_
_atom_site_label
_atom_site_type_symbol
_atom_site_fract_x
_atom_site_fract_y
_atom_site_fract_z
Re1 Re 0.000 0.000 0.000
Ir1 Ir 0.500 0.500 0.000
Pd1 Pd 0.000 0.500 0.500
O1 O 0.500 0.500 0.500



(14)
# TaHgW2 | Alexandria | meta-GGA SCAN | single point on PBEsol structure
# Electronic total energy ... -68.2471 eV per atom
# Total magnetic moment ... 0.00 μB/atom
data_TaHgW2
_chemical_formula_sum 'Ta2 Hg2 W4'
_cell_length_a 3.260
_cell_length_b 4.539
_cell_length_c 9.238
_cell_angle_alpha 90.00
_cell_angle_beta 90.00
_cell_angle_gamma 90.00
_symmetry_space_group_name_H-M 'C m m 2'
_symmetry_Int_Tables_number 35
_symmetry_space_group_name_Hall 'C 2 -2'
loop_
_atom_site_label
_atom_site_type_symbol
_atom_site_fract_x
_atom_site_fract_y
_atom_site_fract_z
Ta1 Ta 0.000 0.000 0.000
Hg1 Hg 0.000 0.500 0.265
W1 W 0.000 0.000 0.529
W2 W 0.000 0.500 0.759



(15)
# NaLaGa2Os | Alexandria | meta-GGA SCAN | single point on PBEsol structure
# Electronic total energy ... -28.3319 eV per atom
# Total magnetic moment ... 0.55 μB/atom
data_NaLaGa2Os
_chemical_formula_sum 'Na1 La1 Ga2 Os1'
_cell_length_a 5.327
_cell_length_b 5.327
_cell_length_c 5.403
_cell_angle_alpha 90.00
_cell_angle_beta 90.00
_cell_angle_gamma 90.00
_symmetry_space_group_name_H-M 'P 4/m m m'
_symmetry_Int_Tables_number 123
_symmetry_space_group_name_Hall '-P 4 2'
loop_
_atom_site_label
_atom_site_type_symbol
_atom_site_fract_x
_atom_site_fract_y
_atom_site_fract_z
Na1 Na 0.000 0.000 0.000
La1 La 0.000 0.000 0.500
Ga1 Ga 0.000 0.500 0.500
Os1 Os 0.500 0.500 0.000



(16)
# AgPbS2Cl | Alexandria | meta-GGA SCAN | single point on PBEsol structure
# Electronic total energy ... -26.9239 eV per atom
# Total magnetic moment ... 0.00 μB/atom
data_AgPbS2Cl
_chemical_formula_sum 'Ag1 Pb1 S2 Cl1'
_cell_length_a 4.794
_cell_length_b 4.794
_cell_length_c 4.856
_cell_angle_alpha 90.00
_cell_angle_beta 90.00
_cell_angle_gamma 90.00
_symmetry_space_group_name_H-M 'P 4/m m m'
_symmetry_Int_Tables_number 123
_symmetry_space_group_name_Hall '-P 4 2'
loop_
_atom_site_label
_atom_site_type_symbol
_atom_site_fract_x
_atom_site_fract_y
_atom_site_fract_z
Ag1 Ag 0.000 0.000 0.000
Pb1 Pb 0.500 0.500 0.500
S1 S 0.000 0.500 0.000
Cl1 Cl 0.000 0.000 0.500



(17)
# ZnReNi | Alexandria | meta-GGA SCAN | single point on PBEsol structure
# Electronic total energy ... -33.5239 eV per atom
# Total magnetic moment ... 0.00 μB/atom
data_ZnReNi
_chemical_formula_sum 'Zn1 Re1 Ni1'
_cell_length_a 2.6650
_cell_length_b 2.6650
_cell_length_c 6.3095
_cell_angle_alpha 90.00
_cell_angle_beta 90.00
_cell_angle_gamma 120.00
_symmetry_space_group_name_H-M 'P 3 m 1'
_symmetry_Int_Tables_number 156
_symmetry_space_group_name_Hall 'P 3 -2"'
loop_
_atom_site_label
_atom_site_type_symbol
_atom_site_fract_x
_atom_site_fract_y
_atom_site_fract_z
Zn1 Zn 0.0000 0.0000 0.0000
Re1 Re 0.6667 0.3333 0.3647
Ni1 Ni 0.3333 0.6667 0.6826



(18)
# Cr2NO | Alexandria | meta-GGA SCAN | single point on PBEsol structure
# Electronic total energy ... -13.4907 eV per atom
# Total magnetic moment ... 0.75 μB/atom
data_Cr2NO
_chemical_formula_sum 'Cr8 N4 O4'
_cell_length_a 5.021
_cell_length_b 5.021
_cell_length_c 5.021
_cell_angle_alpha 90.00
_cell_angle_beta 90.00
_cell_angle_gamma 90.00
_symmetry_space_group_name_H-M 'F m -3 m'
_symmetry_Int_Tables_number 225
_symmetry_space_group_name_Hall '-F 4 2 3'
loop_
_atom_site_label
_atom_site_type_symbol
_atom_site_fract_x
_atom_site_fract_y
_atom_site_fract_z
Cr1 Cr 0.250 0.250 0.250
N1 N 0.000 0.000 0.000
O1 O 0.000 0.000 0.500



(19)
# SbRu3O | Alexandria | meta-GGA SCAN | single point on PBEsol structure
# Electronic total energy ... -29.3002 eV per atom
# Total magnetic moment ... 0.00 μB/atom
data_SbRu3O
_chemical_formula_sum 'Sb1 Ru3 O1'
_cell_length_a 4.082
_cell_length_b 4.082
_cell_length_c 4.082
_cell_angle_alpha 90.00
_cell_angle_beta 90.00
_cell_angle_gamma 90.00
_symmetry_space_group_name_H-M 'P m -3 m'
_symmetry_Int_Tables_number 221
_symmetry_space_group_name_Hall '-P 4 2 3'
loop_
_atom_site_label
_atom_site_type_symbol
_atom_site_fract_x
_atom_site_fract_y
_atom_site_fract_z
Sb1 Sb 0.000 0.000 0.000
Ru1 Ru 0.000 0.500 0.500
O1 O 0.500 0.500 0.500



(20)
# AsRhSe2 | Alexandria | meta-GGA SCAN | single point on PBEsol structure
# Electronic total energy ... -23.5683 eV per atom
# Total magnetic moment ... 0.00 μB/atom
data_AsRhSe2
_chemical_formula_sum 'As2 Rh2 Se4'
_cell_length_a 5.222
_cell_length_b 5.222
_cell_length_c 5.181
_cell_angle_alpha 90.00
_cell_angle_beta 90.00
_cell_angle_gamma 90.00
_symmetry_space_group_name_H-M 'I 4/m m m'
_symmetry_Int_Tables_number 139
_symmetry_space_group_name_Hall '-I 4 2'
loop_
_atom_site_label
_atom_site_type_symbol
_atom_site_fract_x
_atom_site_fract_y
_atom_site_fract_z
As1 As 0.000 0.000 0.000
Rh1 Rh 0.000 0.000 0.500
Se1 Se 0.000 0.500 0.000



| no. | D(E_F) (states/eV/f.u.) |
| --- | --- |
| 1 | 10.44 |
| 2 | 3.23 |
| 3 | 0.00 |
| 4 | 1.90 |
| 5 | 2.63 |
| 6 | 3.22 |
| 7 | 0.62 |
| 8 | 2.33 |
| 9 | 2.44 |
| 10 | 3.32 |
| 11 | 2.36 |
| 12 | 1.64 |
| 13 | 5.05 |
| 14 | 2.46 |
| 15 | 4.55 |
| 16 | 1.48 |
| 17 | 2.97 |
| 18 | 2.84 |
| 19 | 3.97 |
| 20 | 2.24 |